Entry 1:
Compound: Li3CaHg3
Source: Alexandria via LeMat-Bulk
Functional: PBE
Structure: optimized geometry

POSCAR file:
```
Li3CaHg3
1.0
7.180 0.000 0.000
0.000 7.180 0.000
0.000 0.000 7.180
Li Ca Hg
6 2 6
Direct
0.000 0.250 0.500
0.000 0.750 0.500
0.250 0.500 0.000
0.500 0.000 0.250
0.500 0.000 0.750
0.750 0.500 0.000
0.000 0.000 0.000
0.500 0.500 0.500
0.000 0.500 0.250
0.000 0.500 0.750
0.250 0.000 0.500
0.500 0.250 0.000
0.500 0.750 0.000
0.750 0.000 0.500
```

* space group: Pm-3n
* formation energy from the elements: -0.09 eV/atom
* total magnetic moment: 0.000 μB/f.u.
* density of states at the Fermi level: 0.8485 states/eV per atom



Entry 2:
Compound: LiCa2Hg
Source: Alexandria via LeMat-Bulk
Functional: PBE
Structure: optimized geometry

POSCAR file:
```
LiCa2Hg
1.0
-2.420 2.420 10.827
2.420 -2.420 10.827
2.420 2.420 -10.827
Li Ca Hg
2 4 2
Direct
0.000 0.000 0.000
0.750 0.250 0.500
0.134 0.625 0.009
0.375 0.384 0.509
0.616 0.125 0.991
0.875 0.866 0.491
0.250 0.750 0.500
0.500 0.500 0.000
```

* space group: I-42d
* formation energy from the elements: 0.05 eV/atom
* total magnetic moment: 0.000 μB/f.u.
* density of states at the Fermi level: 0.6991 states/eV per atom



Entry 3:
Compound: LiCa3Hg
Source: Alexandria via LeMat-Bulk
Functional: PBE
Structure: optimized geometry

POSCAR file:
```
LiCa3Hg
1.0
2.703 -10.491 0.000
2.703 10.491 0.000
0.000 0.000 5.406
Li Ca Hg
2 6 2
Direct
0.158 0.842 0.750
0.842 0.158 0.250
0.069 0.931 0.250
0.250 0.750 0.250
0.430 0.570 0.250
0.570 0.430 0.750
0.750 0.250 0.750
0.931 0.069 0.750
0.341 0.659 0.750
0.659 0.341 0.250
```

* space group: Cmcm
* formation energy from the elements: -0.24 eV/atom
* energy above the lowest structure with this stoichiometry: 0 meV/atom
* total magnetic moment: 0.000 μB/f.u.
* density of states at the Fermi level: 0.9358 states/eV per atom



Entry 4:
Compound: LiCaHg2
Source: Alexandria via LeMat-Bulk
Functional: PBE
Structure: optimized geometry

POSCAR file:
```
LiCaHg2
1.0
3.571 0.000 0.000
0.000 3.571 0.000
0.000 0.000 7.215
Li Ca Hg
1 1 2
Direct
0.000 0.000 0.000
0.000 0.000 0.500
0.500 0.500 0.214
0.500 0.500 0.786
```

* space group: P4/mmm
* formation energy from the elements: -0.44 eV/atom
* total magnetic moment: 0.000 μB/f.u.
* density of states at the Fermi level: 0.4569 states/eV per atom



Entry 5:
Compound: Li2CaHg2
Source: Alexandria via LeMat-Bulk
Functional: PBE
Structure: optimized geometry

POSCAR file:
```
Li2CaHg2
1.0
5.440 0.000 0.000
2.681 5.104 0.000
2.682 -0.008 8.633
Li Ca Hg
4 2 4
Direct
0.007 0.250 0.486
0.244 0.249 0.014
0.756 0.751 0.986
0.993 0.750 0.514
0.375 0.750 0.749
0.625 0.250 0.251
0.054 0.394 0.750
0.305 0.893 0.250
0.695 0.107 0.750
0.946 0.606 0.250
```

* space group: P-1
* formation energy from the elements: -0.30 eV/atom
* energy above the lowest structure with this stoichiometry: 71 meV/atom
* total magnetic moment: 0.000 μB/f.u.
* density of states at the Fermi level: 0.4289 states/eV per atom



Entry 6:
Compound: Li2Ca3Hg2
Source: Alexandria via LeMat-Bulk
Functional: PBE
Structure: optimized geometry

POSCAR file:
```
Li2Ca3Hg2
1.0
-2.039 2.394 9.923
2.039 -2.394 9.923
2.039 2.394 -9.923
Li Ca Hg
2 3 2
Direct
0.068 0.068 0.000
0.932 0.932 0.000
0.193 0.693 0.500
0.500 0.500 0.000
0.807 0.307 0.500
0.361 0.861 0.500
0.639 0.139 0.500
```

* space group: Immm
* formation energy from the elements: -0.31 eV/atom
* total magnetic moment: 0.000 μB/f.u.
* density of states at the Fermi level: 0.8361 states/eV per atom